VASP calculation (PBE-GGA) on crystalline LiYCo2C at its relaxed geometry.

POSCAR file:
```
LiYCo2C
1.0
3.859 0.000 0.000
0.000 3.859 0.000
0.000 0.000 4.187
Co Li Y C
2 1 1 1
direct
0.000 0.500 0.000
0.500 0.000 0.000
0.000 0.000 0.500
0.500 0.500 0.500
0.000 0.000 0.000
```

Its size of the total moment is 0.0 μB/f.u.



VASP calculation (PBE-GGA) on crystalline LiY2CoC at its relaxed geometry.

POSCAR file:
```
LiY2CoC
1.0
5.003 0.000 0.000
0.000 5.003 0.000
0.000 0.000 3.661
Y Co Li C
2 1 1 1
direct
0.500 0.000 0.000
0.000 0.500 0.000
0.000 0.000 0.500
0.500 0.500 0.500
0.000 0.000 0.000
```

Its size of the total moment is 0.0 μB/f.u.



VASP calculation (PBE-GGA) on crystalline Li2ZnCoC at its relaxed geometry.

POSCAR file:
```
Li2ZnCoC
1.0
-1.331 0.388 3.747
1.240 -3.707 0.825
3.224 1.303 1.010
Li Co Zn C
2 1 1 1
direct
0.500 0.000 0.000
0.000 0.500 0.000
0.000 0.000 0.500
0.500 0.500 0.500
0.000 0.000 0.000
```

Its size of the total moment is 0.0 μB/f.u.



VASP calculation (PBE-GGA) on crystalline LuCoC2 at its relaxed geometry.

POSCAR file:
```
LuCoC2
1.0
-3.002 -1.561 1.539
-0.444 -0.346 -3.674
1.626 -3.040 0.090
Lu C Co
1 2 1
direct
0.999 0.001 0.000
0.458 0.849 0.500
0.151 0.542 0.500
0.617 0.383 0.500
```

Its size of the total moment is 0.0 μB/f.u.



VASP calculation (PBE-GGA) on crystalline Lu2CoC at its relaxed geometry.

POSCAR file:
```
Lu2CoC
1.0
3.406 0.000 0.000
1.703 2.950 0.000
1.703 0.983 7.638
Lu C Co
2 1 1
direct
0.109 0.109 0.672
0.891 0.891 0.328
0.500 0.500 0.500
0.000 0.000 0.000
```

Its size of the total moment is 0.8 μB/f.u.



VASP calculation (PBE-GGA) on crystalline Lu2Co4C at its relaxed geometry.

POSCAR file:
```
Lu2Co4C
1.0
-1.422 -2.182 -2.764
3.279 -1.906 -0.182
-1.454 -6.605 3.353
Lu C Co
2 1 4
direct
0.337 0.337 0.327
0.663 0.663 0.673
0.000 0.000 0.000
0.129 0.129 0.742
0.871 0.871 0.258
0.000 0.500 0.000
0.500 0.000 0.000
```

Its size of the total moment is 1.5 μB/f.u.



VASP calculation (PBE-GGA) on crystalline MgCoC at its relaxed geometry.

POSCAR file:
```
MgCoC
1.0
3.255 0.000 0.000
1.628 4.371 -0.063
1.628 1.050 4.731
Co C Mg
2 2 2
direct
0.196 0.199 0.409
0.804 0.801 0.591
0.807 0.140 0.247
0.193 0.860 0.753
0.428 0.312 0.833
0.572 0.688 0.167
```

The polymorph energy (0 for the lowest one) is 11 meV/atom. Its size of the total moment is 0.0 μB/f.u.



VASP calculation (PBE-GGA) on crystalline MgCo2C2 at its relaxed geometry.

POSCAR file:
```
MgCo2C2
1.0
3.502 0.000 0.000
0.000 3.502 0.000
1.751 1.751 4.114
C Mg Co
2 1 2
direct
0.250 0.750 0.500
0.750 0.250 0.500
0.000 0.000 0.000
0.348 0.348 0.303
0.652 0.652 0.697
```

The polymorph energy (0 for the lowest one) is 0 meV/atom. Its size of the total moment is 0.0 μB/f.u.



VASP calculation (PBE-GGA) on crystalline Mg2Co3C at its relaxed geometry.

POSCAR file:
```
Mg2Co3C
1.0
-2.492 -1.979 -2.975
-2.124 -3.430 1.644
-4.239 0.813 0.593
Mg Co C
2 3 1
direct
0.374 0.374 0.374
0.626 0.626 0.626
0.500 0.000 0.000
0.000 0.500 0.000
0.000 0.000 0.500
0.000 0.000 0.000
```

Its size of the total moment is 1.8 μB/f.u.



VASP calculation (PBE-GGA) on crystalline Mg14CoC at its relaxed geometry.

POSCAR file:
```
Mg14CoC
1.0
3.107 -5.381 0.000
3.107 5.381 0.000
0.000 0.000 9.514
Co Mg C
1 14 1
direct
0.000 0.000 0.000
0.689 0.845 0.745
0.155 0.311 0.745
0.499 0.997 0.000
0.155 0.845 0.255
0.502 0.498 0.500
0.155 0.845 0.745
0.667 0.333 0.249
0.499 0.501 0.000
0.667 0.333 0.751
0.502 0.003 0.500
0.689 0.845 0.255
0.997 0.498 0.500
0.155 0.311 0.255
0.003 0.501 0.000
0.000 0.000 0.500
```

The polymorph energy (0 for the lowest one) is 138 meV/atom. Its size of the total moment is 0.7 μB/f.u.



VASP calculation (PBE-GGA) on crystalline MgCoC at its relaxed geometry.

POSCAR file:
```
MgCoC
1.0
-2.604 0.791 2.253
1.338 -4.061 2.972
5.306 4.962 4.390
Mg Co C
4 4 4
direct
0.750 0.901 0.645
0.250 0.599 0.145
0.250 0.099 0.355
0.750 0.401 0.855
0.250 0.120 0.055
0.750 0.880 0.945
0.250 0.620 0.445
0.750 0.380 0.555
0.250 0.334 0.592
0.750 0.166 0.092
0.250 0.834 0.908
0.750 0.666 0.408
```

The polymorph energy (0 for the lowest one) is 0 meV/atom. Its size of the total moment is 0.0 μB/f.u.



VASP calculation (PBE-GGA) on crystalline MgCoC2 at its relaxed geometry.

POSCAR file:
```
MgCoC2
1.0
4.758 0.000 0.000
0.000 4.758 0.000
2.379 2.379 4.327
Co C Mg
2 4 2
direct
0.000 0.000 0.000
0.750 0.250 0.500
0.706 0.125 0.250
0.375 0.294 0.750
0.875 0.956 0.750
0.044 0.625 0.250
0.250 0.750 0.500
0.500 0.500 0.000
```

Its size of the total moment is 0.0 μB/f.u.



VASP calculation (PBE-GGA) on crystalline MgCo2C2 at its relaxed geometry.

POSCAR file:
```
MgCo2C2
1.0
-5.200 -3.058 -0.482
2.052 -2.699 -5.013
0.960 -1.852 1.390
Co Mg C
4 2 4
direct
0.639 0.139 0.000
0.861 0.639 0.000
0.361 0.861 0.000
0.139 0.361 0.000
0.000 0.000 0.000
0.500 0.500 0.000
0.175 0.675 0.500
0.325 0.175 0.500
0.825 0.325 0.500
0.675 0.825 0.500
```

The polymorph energy (0 for the lowest one) is 382 meV/atom. Its size of the total moment is 0.0 μB/f.u.



VASP calculation (PBE-GGA) on crystalline Mg6CoC at its relaxed geometry.

POSCAR file:
```
Mg6CoC
1.0
0.364 1.655 -6.597
-6.385 0.925 2.181
0.736 3.132 0.826
Mg Co C
6 1 1
direct
0.861 0.139 0.500
0.642 0.358 0.000
0.581 0.777 0.000
0.989 0.659 0.500
0.341 0.011 0.500
0.223 0.419 0.000
0.027 0.973 0.000
0.336 0.664 0.500
```

Its size of the total moment is 0.8 μB/f.u.



VASP calculation (PBE-GGA) on crystalline Mg2CoC at its relaxed geometry.

POSCAR file:
```
Mg2CoC
1.0
-3.500 7.587 1.617
-7.640 -3.064 -2.159
-5.854 1.767 1.435
Mg Co C
4 2 2
direct
0.875 0.689 0.750
0.375 0.561 0.750
0.311 0.625 0.250
0.439 0.125 0.250
0.750 0.250 0.500
0.000 0.000 0.000
0.500 0.500 0.000
0.250 0.750 0.500
```

Its size of the total moment is 0.0 μB/f.u.



VASP calculation (PBE-GGA) on crystalline Mg14CoC at its relaxed geometry.

POSCAR file:
```
Mg14CoC
1.0
3.963 -5.082 0.000
3.963 5.082 0.000
0.000 0.000 8.289
Mg Co C
14 1 1
direct
0.936 0.064 0.785
0.793 0.592 0.678
0.607 0.778 0.000
0.408 0.207 0.678
0.936 0.064 0.215
0.670 0.971 0.500
0.222 0.393 0.000
0.156 0.844 0.000
0.687 0.313 0.000
0.793 0.592 0.322
0.298 0.702 0.308
0.029 0.330 0.500
0.408 0.207 0.322
0.298 0.702 0.692
0.081 0.919 0.500
0.678 0.322 0.500
```

The polymorph energy (0 for the lowest one) is 0 meV/atom. Its size of the total moment is 0.0 μB/f.u.



VASP calculation (PBE-GGA) on crystalline NaMgCoC2 at its relaxed geometry.

POSCAR file:
```
NaMgCoC2
1.0
4.215 0.000 0.000
0.000 4.371 0.000
0.000 0.000 4.215
Mg Na Co C
1 1 1 2
direct
0.000 0.500 0.000
0.000 0.000 0.000
0.500 0.500 0.500
0.500 0.000 0.000
0.000 0.000 0.500
```

Its size of the total moment is 2.0 μB/f.u.



VASP calculation (PBE-GGA) on crystalline Mg2CoNiC at its relaxed geometry.

POSCAR file:
```
Mg2CoNiC
1.0
-0.337 -3.882 2.503
-0.610 -2.211 -3.511
4.569 -0.646 -0.387
Ni Mg C Co
1 2 1 1
direct
0.000 0.000 0.000
0.000 0.000 0.500
0.500 0.000 0.000
0.500 0.500 0.500
0.000 0.500 0.000
```

Its size of the total moment is 2.2 μB/f.u.



VASP calculation (PBE-GGA) on crystalline MgCoNi2C at its relaxed geometry.

POSCAR file:
```
MgCoNi2C
1.0
-0.925 0.617 3.668
-3.651 -0.875 -0.774
0.693 -3.578 0.777
Ni Mg C Co
2 1 1 1
direct
0.500 0.000 0.000
0.000 0.500 0.000
0.500 0.500 0.500
0.000 0.000 0.000
0.000 0.000 0.500
```

Its size of the total moment is 0.0 μB/f.u.



Number 1: E_form -4 kJ per mole of atoms. Number 2: E_form -22 kJ per mole of atoms. Number 3: E_form 12 kJ per mole of atoms. Number 4: E_form -35 kJ per mole of atoms. Number 5: E_form 23 kJ per mole of atoms. Number 6: E_form -10 kJ per mole of atoms. Number 7: E_form 20 kJ per mole of atoms. Number 8: E_form 57 kJ per mole of atoms. Number 9: E_form 27 kJ per mole of atoms. Number 10: E_form 31 kJ per mole of atoms. Number 11: E_form 19 kJ per mole of atoms. Number 12: E_form 82 kJ per mole of atoms. Number 13: E_form 94 kJ per mole of atoms. Number 14: E_form 34 kJ per mole of atoms. Number 15: E_form 18 kJ per mole of atoms. Number 16: E_form 17 kJ per mole of atoms. Number 17: E_form 279 kJ per mole of atoms. Number 18: E_form 150 kJ per mole of atoms. Number 19: E_form -12 kJ per mole of atoms.